1.
This record from Alexandria describes a geometry-optimized ZrCrRe structure. The functional is GGA-PBE.

Structure (POSCAR):
```
ZrCrRe
1.0
-0.339 -0.668 -6.925
1.935 -2.104 -6.121
-2.169 -1.710 -0.506
Cr Zr Re
1 1 1
direct
0.990 0.990 0.010 Cr
0.663 0.663 0.337 Zr
0.346 0.346 0.654 Re
```

Output
ΔH_f (0 K): 0.16 eV per atom
Symmetry: Fmm2
E_tot: -30.1 eV/cell
Distance to the lowest polymorph of the same formula: 415 meV/atom
Crystal system: orthorhombic

=====

2.
This record from Alexandria describes a geometry-optimized ZrCrRe structure. The functional is GGA-PBE.

Structure (POSCAR):
```
ZrCrRe
1.0
-0.123 -0.999 -2.797
2.263 -0.785 1.761
-3.352 -5.180 1.998
Re Zr Cr
1 1 1
direct
0.667 0.333 0.301 Re
0.333 0.667 0.675 Zr
0.000 0.000 0.024 Cr
```

Output
ΔH_f (0 K): 0.35 eV per atom
Symmetry: P3m1
E_tot: -29.6 eV/cell
Distance to the lowest polymorph of the same formula: 600 meV/atom
Crystal system: trigonal

=====

3.
This record from Alexandria describes a geometry-optimized Zr2CrRe structure. The functional is GGA-PBE.

Structure (POSCAR):
```
Zr2CrRe
1.0
5.519 -0.003 -0.009
4.574 3.089 -0.009
1.933 0.591 4.143
Cr Re Zr
1 1 2
direct
0.480 0.480 0.521 Cr
0.769 0.769 0.730 Re
0.011 0.011 0.989 Zr
0.240 0.240 0.260 Zr
```

Output
ΔH_f (0 K): -0.01 eV per atom
Symmetry: Imm2
E_tot: -39.2 eV/cell
Distance to the lowest polymorph of the same formula: 31 meV/atom
Crystal system: orthorhombic

=====

4.
This record from Alexandria describes a geometry-optimized ZrCrRe structure. The functional is GGA-PBE.

Structure (POSCAR):
```
ZrCrRe
1.0
4.410 0.000 0.000
2.205 3.819 0.000
2.205 1.273 3.601
Zr Re Cr
1 1 1
direct
0.750 0.750 0.750 Zr
0.500 0.500 0.500 Re
0.000 0.000 0.000 Cr
```

Output
ΔH_f (0 K): 1.25 eV per atom
Symmetry: F-43m
E_tot: -26.9 eV/cell
Distance to the lowest polymorph of the same formula: 1504 meV/atom
Crystal system: cubic

=====

5.
This record from Alexandria describes a geometry-optimized Zr2CrRe structure. The functional is GGA-PBE.

Structure (POSCAR):
```
Zr2CrRe
1.0
-7.217 3.074 -4.087
-8.547 1.156 -1.964
-7.753 4.099 -1.152
Zr Cr Re
2 1 1
direct
0.498 0.498 0.498 Zr
0.002 0.002 0.002 Zr
0.250 0.250 0.250 Cr
0.750 0.750 0.750 Re
```

Output
ΔH_f (0 K): 0.35 eV per atom
Symmetry: R-3m
E_tot: -37.8 eV/cell
Distance to the lowest polymorph of the same formula: 382 meV/atom
Crystal system: trigonal

=====

6.
This record from Alexandria describes a geometry-optimized Zr2CrRe structure. The functional is GGA-PBE.

Structure (POSCAR):
```
Zr2CrRe
1.0
-4.372 -0.133 -0.579
-0.102 -2.561 1.357
-0.735 1.853 5.121
Cr Re Zr
1 1 2
direct
0.500 0.250 0.250 Cr
0.500 0.750 0.750 Re
0.000 0.496 0.497 Zr
0.000 0.004 0.003 Zr
```

Output
ΔH_f (0 K): 0.19 eV per atom
Symmetry: P2/m
E_tot: -38.4 eV/cell
Distance to the lowest polymorph of the same formula: 230 meV/atom
Crystal system: monoclinic

=====

Which of these has the highest ΔH_f (0 K)? number 4

=====

Among the records above, which one has the highest ΔH_f (0 K)? number 4